Entry 1:
Below is crystalline TaMnSnP2 at its relaxed geometry, with properties calculated at the PBE level.

Results
Final energy, eV for the cell shown: -27.42
N(E_F), states/eV per cell: 5.01
Size of the total moment, μB/f.u.: 1.70
E_form, eV/atom: 1.6855

Cell: 4.864 4.864 4.731 Å, 90.00 90.00 90.00°
Space group P4/mmm (No. 123)
One atom of each set of equivalent atoms:
Ta 0.000 0.000 0.000 (multiplicity 1)
Mn 0.500 0.500 0.000 (multiplicity 1)
Sn 0.500 0.500 0.500 (multiplicity 1)
P 0.000 0.500 0.500 (multiplicity 2)

***

Entry 2:
Below is crystalline ZrTl3C at its relaxed geometry, with properties calculated at the PBE level.

Results
Final energy, eV for the cell shown: -15.77
Relative energy among the computed polymorphs, meV/atom: 589
N(E_F), states/eV per cell: 4.04
Size of the total moment, μB/f.u.: 0.05
E_form, eV/atom: 1.8207

Cell: 5.734 5.734 5.734 Å, 90.00 90.00 90.00°
Space group Pm-3m (No. 221)
One atom of each set of equivalent atoms:
Zr 0.000 0.000 0.000 (multiplicity 1)
Tl 0.000 0.000 0.500 (multiplicity 3)
C 0.500 0.500 0.500 (multiplicity 1)

***

- Which value of final energy does entry 2 give?
  -15.77 eV for the cell shown